The following is a meta-GGA SCAN calculation of a PBEsol-optimized structure of BaSnSb2I, from Alexandria.

raw formation energy	299	kJ/mol of formula units
E	-183.6	eV/cell
DOS at the Fermi energy	3.93	states/eV/f.u.
M_tot	0.7	μB per formula unit

CIF file:
```
data_BaSnSb2I
_chemical_formula_sum 'Ba1 Sn1 Sb2 I1'
_cell_length_a 6.1266
_cell_length_b 6.1266
_cell_length_c 6.2131
_cell_angle_alpha 90.00
_cell_angle_beta 90.00
_cell_angle_gamma 90.00
_space_group_name_H-M_alt 'P 4/m m m'
_space_group_IT_number 123
_space_group_name_Hall '-P 4 2'
loop_
_atom_site_label
_atom_site_fract_x
_atom_site_fract_y
_atom_site_fract_z
Ba1 0.0000 0.0000 0.0000
Sn1 0.5000 0.5000 0.5000
Sb1 0.0000 0.5000 0.0000
I1 0.0000 0.0000 0.5000
```

=====

The following is a meta-GGA SCAN calculation of a PBEsol-optimized structure of BaSrSb2I, from Alexandria.

raw formation energy	-109	kJ/mol of formula units
E	-174.2	eV/cell
DOS at the Fermi energy	4.39	states/eV/f.u.
M_tot	0.0	μB per formula unit

CIF file:
```
data_BaSrSb2I
_chemical_formula_sum 'Ba1 Sr1 Sb2 I1'
_cell_length_a 6.0677
_cell_length_b 6.0677
_cell_length_c 6.3493
_cell_angle_alpha 90.00
_cell_angle_beta 90.00
_cell_angle_gamma 90.00
_space_group_name_H-M_alt 'P 4/m m m'
_space_group_IT_number 123
_space_group_name_Hall '-P 4 2'
loop_
_atom_site_label
_atom_site_fract_x
_atom_site_fract_y
_atom_site_fract_z
Ba1 0.0000 0.0000 0.0000
Sr1 0.5000 0.5000 0.5000
Sb1 0.0000 0.5000 0.0000
I1 0.0000 0.0000 0.5000
```

=====

The following is a meta-GGA SCAN calculation of a PBEsol-optimized structure of BaSbTe2I, from Alexandria.

raw formation energy	96	kJ/mol of formula units
E	-187.1	eV/cell
polymorph energy (0 for the lowest one)	21.69	kcal/mol of atoms
DOS at the Fermi energy	4.07	states/eV/f.u.
M_tot	0.0	μB per formula unit

CIF file:
```
data_BaSbTe2I
_chemical_formula_sum 'Ba1 Sb1 Te2 I1'
_cell_length_a 6.5334
_cell_length_b 6.5334
_cell_length_c 6.3160
_cell_angle_alpha 90.00
_cell_angle_beta 90.00
_cell_angle_gamma 90.00
_space_group_name_H-M_alt 'P 4/m m m'
_space_group_IT_number 123
_space_group_name_Hall '-P 4 2'
loop_
_atom_site_label
_atom_site_fract_x
_atom_site_fract_y
_atom_site_fract_z
Ba1 0.0000 0.0000 0.0000
Sb1 0.5000 0.5000 0.5000
Te1 0.0000 0.5000 0.0000
I1 0.0000 0.0000 0.5000
```

=====

The following is a meta-GGA SCAN calculation of a PBEsol-optimized structure of BaSbTe2I, from Alexandria.

raw formation energy	-357	kJ/mol of formula units
E	-191.8	eV/cell
polymorph energy (0 for the lowest one)	0.00	kcal/mol of atoms
DOS at the Fermi energy	2.09	states/eV/f.u.
M_tot	0.0	μB per formula unit

CIF file:
```
data_BaSbTe2I
_chemical_formula_sum 'Ba1 Sb1 Te2 I1'
_cell_length_a 5.7945
_cell_length_b 5.7945
_cell_length_c 5.8001
_cell_angle_alpha 90.00
_cell_angle_beta 90.00
_cell_angle_gamma 90.00
_space_group_name_H-M_alt 'P 4/m m m'
_space_group_IT_number 123
_space_group_name_Hall '-P 4 2'
loop_
_atom_site_label
_atom_site_fract_x
_atom_site_fract_y
_atom_site_fract_z
Ba1 0.0000 0.0000 0.0000
Sb1 0.5000 0.5000 0.5000
Te1 0.0000 0.5000 0.5000
I1 0.5000 0.5000 0.0000
```

=====

Look up the E of the second one. -174.2 eV/cell